No. 1
# SbAs2Au2 GGA-PBE relaxed
# Total energy, eV per atom: -3.75
# Offset from the most stable computed form, meV per atom: 36
# Raw formation energy, eV per atom: 0.25
data_SbAs2Au2
_cell_length_a 3.941
_cell_length_b 3.941
_cell_length_c 14.005
_cell_angle_alpha 90.00
_cell_angle_beta 90.00
_cell_angle_gamma 90.00
_space_group_name_H-M_alt 'I 4/m m m'
_space_group_IT_number 139
_space_group_name_Hall '-I 4 2'
loop_
_atom_site_label
_atom_site_type_symbol
_atom_site_fract_x
_atom_site_fract_y
_atom_site_fract_z
Sb1 Sb 0.000 0.000 0.000
As1 As 0.000 0.000 0.395
Au1 Au 0.000 0.500 0.250



No. 2
# SbAs2Au2 GGA-PBE relaxed
# Total energy, eV per atom: -3.78
# Offset from the most stable computed form, meV per atom: 0
# Raw formation energy, eV per atom: 0.21
data_SbAs2Au2
_cell_length_a 8.311
_cell_length_b 8.311
_cell_length_c 3.097
_cell_angle_alpha 90.00
_cell_angle_beta 90.00
_cell_angle_gamma 90.00
_space_group_name_H-M_alt 'P 4/m b m'
_space_group_IT_number 127
_space_group_name_Hall '-P 4 2ab'
loop_
_atom_site_label
_atom_site_type_symbol
_atom_site_fract_x
_atom_site_fract_y
_atom_site_fract_z
Sb1 Sb 0.000 0.000 0.000
As1 As 0.197 0.303 0.000
Au1 Au 0.117 0.617 0.500



No. 3
# Sb2AsAu GGA-PBE relaxed
# Total energy, eV per atom: -3.83
# Raw formation energy, eV per atom: 0.21
data_Sb2AsAu
_cell_length_a 3.588
_cell_length_b 5.337
_cell_length_c 9.964
_cell_angle_alpha 90.00
_cell_angle_beta 90.00
_cell_angle_gamma 90.00
_space_group_name_H-M_alt 'I m m 2'
_space_group_IT_number 44
_space_group_name_Hall 'I 2 -2'
loop_
_atom_site_label
_atom_site_type_symbol
_atom_site_fract_x
_atom_site_fract_y
_atom_site_fract_z
Sb1 Sb 0.000 0.000 0.000
Sb2 Sb 0.000 0.500 0.166
As1 As 0.000 0.500 0.727
Au1 Au 0.000 0.000 0.435



No. 4
# Sb2AsAu GGA-PBE relaxed
# Total energy, eV per atom: -4.08
# Raw formation energy, eV per atom: -0.03
data_Sb2AsAu
_cell_length_a 4.019
_cell_length_b 5.762
_cell_length_c 4.239
_cell_angle_alpha 90.00
_cell_angle_beta 90.00
_cell_angle_gamma 90.00
_space_group_name_H-M_alt 'P m m 2'
_space_group_IT_number 25
_space_group_name_Hall 'P 2 -2'
loop_
_atom_site_label
_atom_site_type_symbol
_atom_site_fract_x
_atom_site_fract_y
_atom_site_fract_z
Sb1 Sb 0.000 0.000 0.000
Sb2 Sb 0.500 0.500 0.466
As1 As 0.500 0.000 0.431
Au1 Au 0.000 0.500 0.963



No. 5
# Sb3AsAu GGA-PBE relaxed
# Total energy, eV per atom: -3.28
# Offset from the most stable computed form, meV per atom: 0
# Raw formation energy, eV per atom: 0.78
data_Sb3AsAu
_cell_length_a 5.360
_cell_length_b 5.360
_cell_length_c 5.360
_cell_angle_alpha 90.00
_cell_angle_beta 90.00
_cell_angle_gamma 90.00
_space_group_name_H-M_alt 'P m -3 m'
_space_group_IT_number 221
_space_group_name_Hall '-P 4 2 3'
loop_
_atom_site_label
_atom_site_type_symbol
_atom_site_fract_x
_atom_site_fract_y
_atom_site_fract_z
Sb1 Sb 0.000 0.000 0.500
As1 As 0.500 0.500 0.500
Au1 Au 0.000 0.000 0.000



No. 6
# Sb2As2Au GGA-PBE relaxed
# Total energy, eV per atom: -3.89
# Offset from the most stable computed form, meV per atom: 217
# Raw formation energy, eV per atom: 0.27
data_Sb2As2Au
_cell_length_a 7.815
_cell_length_b 7.815
_cell_length_c 3.940
_cell_angle_alpha 90.00
_cell_angle_beta 90.00
_cell_angle_gamma 90.00
_space_group_name_H-M_alt 'P 4/m b m'
_space_group_IT_number 127
_space_group_name_Hall '-P 4 2ab'
loop_
_atom_site_label
_atom_site_type_symbol
_atom_site_fract_x
_atom_site_fract_y
_atom_site_fract_z
Sb1 Sb 0.160 0.340 0.000
As1 As 0.173 0.673 0.500
Au1 Au 0.000 0.000 0.500